{
  "formula": "SrNd2In9",
  "functional": "PBE-GGA",
  "state": "optimized geometry",
  "crystal_system": "tetragonal",
  "formation_enthalpy_0k_mev_per_atom": -410.6,
  "spacegroup": "P4/mmm (123)",
  "rho_g_cm3": 7.20,
  "e_tot_ev_per_atom": -3.40,
  "cell": [[4.7641, 0.0000, 0.0000], [0.0000, 4.7641, 0.0000], [0.0000, 0.0000, 14.3158]],
  "species": ["In", "In", "In", "In", "In", "In", "In", "In", "In", "Sr", "Nd", "Nd"],
  "fractional_positions": [[0.0000, 0.5000, 0.5000], [0.5000, 0.5000, 0.6653], [0.5000, 0.0000, 0.1715], [0.5000, 0.5000, 0.3347], [0.5000, 0.0000, 0.5000], [0.5000, 0.0000, 0.8285], [0.5000, 0.5000, 0.0000], [0.0000, 0.5000, 0.1715], [0.0000, 0.5000, 0.8285], [0.0000, 0.0000, 0.0000], [0.0000, 0.0000, 0.6618], [0.0000, 0.0000, 0.3382]]
}